# 1
# PbN2Cl, optimized geometry, DFT PBE-GGA
data_PbN2Cl
_cell_length_a 5.616
_cell_length_b 5.616
_cell_length_c 9.775
_cell_angle_alpha 90.00
_cell_angle_beta 90.00
_cell_angle_gamma 90.00
_symmetry_space_group_name_H-M 'I -4 2 d'
_symmetry_Int_Tables_number 122
_symmetry_space_group_name_Hall 'I -4 2bw'
loop_
_atom_site_label
_atom_site_type_symbol
_atom_site_fract_x
_atom_site_fract_y
_atom_site_fract_z
Pb1 Pb 0.000 0.000 0.000
N1 N 0.230 0.250 0.125
Cl1 Cl 0.000 0.000 0.500
# Electronic total energy   -3.86 eV per atom
# Excess energy over the best structure of this formula in the dataset   1.8718 eV/atom
# Magnetic moment   0.00 μB/atom

***

# 2
# Th2AlCoHg, optimized geometry, DFT PBE-GGA
data_Th2AlCoHg
_cell_length_a 7.615
_cell_length_b 4.272
_cell_length_c 7.624
_cell_angle_alpha 90.00
_cell_angle_beta 110.12
_cell_angle_gamma 90.00
_symmetry_space_group_name_H-M 'P 1 21/m 1'
_symmetry_Int_Tables_number 11
loop_
_symmetry_equiv_pos_as_xyz
'x,y,z'
'-x,-y,-z'
'-x,y+1/2,-z'
'x,-y+1/2,z'
loop_
_atom_site_label
_atom_site_type_symbol
_atom_site_fract_x
_atom_site_fract_y
_atom_site_fract_z
Th1 Th 0.025 0.250 0.215
Th2 Th 0.333 0.750 0.600
Al1 Al 0.336 0.250 0.934
Co1 Co 0.094 0.250 0.612
Hg1 Hg 0.339 0.750 0.170
# Electronic total energy   -5.54 eV per atom
# Magnetic moment   0.00 μB/atom

***

# 3
# Rb4Tl4In, optimized geometry, DFT PBE-GGA
data_Rb4Tl4In
_cell_length_a 7.564
_cell_length_b 7.564
_cell_length_c 15.879
_cell_angle_alpha 90.00
_cell_angle_beta 90.00
_cell_angle_gamma 90.00
_symmetry_space_group_name_H-M 'I -4 2 m'
_symmetry_Int_Tables_number 121
_symmetry_space_group_name_Hall 'I -4 2'
loop_
_atom_site_label
_atom_site_type_symbol
_atom_site_fract_x
_atom_site_fract_y
_atom_site_fract_z
Rb1 Rb 0.192 0.192 0.380
Tl1 Tl 0.176 0.176 0.147
In1 In 0.000 0.000 0.000
# Electronic total energy   -1.72 eV per atom
# Magnetic moment   0.00 μB/atom

***

# 4
# ReNiMo2, optimized geometry, DFT PBE-GGA
data_ReNiMo2
_cell_length_a 3.914
_cell_length_b 3.914
_cell_length_c 7.567
_cell_angle_alpha 90.00
_cell_angle_beta 90.00
_cell_angle_gamma 90.00
_symmetry_space_group_name_H-M 'I -4 m 2'
_symmetry_Int_Tables_number 119
_symmetry_space_group_name_Hall 'I -4 -2'
loop_
_atom_site_label
_atom_site_type_symbol
_atom_site_fract_x
_atom_site_fract_y
_atom_site_fract_z
Re1 Re 0.000 0.000 0.000
Ni1 Ni 0.000 0.500 0.250
Mo1 Mo 0.000 0.000 0.500
Mo2 Mo 0.000 0.500 0.750
# Electronic total energy   -9.87 eV per atom
# Excess energy over the best structure of this formula in the dataset   0.0808 eV/atom
# Magnetic moment   0.00 μB/atom

***

# 5
# Pr6Tl5Zn, optimized geometry, DFT PBE-GGA
data_Pr6Tl5Zn
_cell_length_a 5.531
_cell_length_b 7.795
_cell_length_c 8.723
_cell_angle_alpha 90.00
_cell_angle_beta 108.38
_cell_angle_gamma 90.00
_symmetry_space_group_name_H-M 'P 1 2/m 1'
_symmetry_Int_Tables_number 10
loop_
_symmetry_equiv_pos_as_xyz
'x,y,z'
'-x,-y,-z'
'-x,y,-z'
'x,-y,z'
loop_
_atom_site_label
_atom_site_type_symbol
_atom_site_fract_x
_atom_site_fract_y
_atom_site_fract_z
Pr1 Pr 0.000 0.242 0.000
Pr2 Pr 0.337 0.245 0.674
Tl1 Tl 0.166 0.000 0.332
Tl2 Tl 0.168 0.500 0.336
Tl3 Tl 0.500 0.500 0.000
Zn1 Zn 0.500 0.000 0.000
# Electronic total energy   -3.85 eV per atom
# Excess energy over the best structure of this formula in the dataset   0.0000 eV/atom
# Magnetic moment   0.00 μB/atom

***

# 6
# BaLa, optimized geometry, DFT PBE-GGA
data_BaLa
_cell_length_a 8.989
_cell_length_b 8.989
_cell_length_c 8.989
_cell_angle_alpha 90.00
_cell_angle_beta 90.00
_cell_angle_gamma 90.00
_symmetry_space_group_name_H-M 'P m -3 n'
_symmetry_Int_Tables_number 223
_symmetry_space_group_name_Hall '-P 4n 2 3'
loop_
_atom_site_label
_atom_site_type_symbol
_atom_site_fract_x
_atom_site_fract_y
_atom_site_fract_z
Ba1 Ba 0.000 0.250 0.500
La1 La 0.000 0.500 0.250
# Electronic total energy   -1.96 eV per atom
# Excess energy over the best structure of this formula in the dataset   1.3717 eV/atom
# Magnetic moment   0.00 μB/atom

***

# 7
# AcY6Er5, optimized geometry, DFT PBE-GGA
data_AcY6Er5
_cell_length_a 6.201
_cell_length_b 10.736
_cell_length_c 11.865
_cell_angle_alpha 90.00
_cell_angle_beta 100.01
_cell_angle_gamma 90.00
_symmetry_space_group_name_H-M 'C 1 2/m 1'
_symmetry_Int_Tables_number 12
loop_
_symmetry_equiv_pos_as_xyz
'x,y,z'
'-x,-y,-z'
'-x,y,-z'
'x,-y,z'
'x+1/2,y+1/2,z'
'-x+1/2,-y+1/2,-z'
'-x+1/2,y+1/2,-z'
'x+1/2,-y+1/2,z'
loop_
_atom_site_label
_atom_site_type_symbol
_atom_site_fract_x
_atom_site_fract_y
_atom_site_fract_z
Ac1 Ac 0.000 0.000 0.000
Y1 Y 0.247 0.332 0.745
Y2 Y 0.248 0.500 0.255
Er1 Er 0.000 0.167 0.500
Er2 Er 0.000 0.333 0.000
Er3 Er 0.000 0.500 0.500
# Electronic total energy   -5.44 eV per atom
# Magnetic moment   0.00 μB/atom

***

# 8
# Nd2DyZn9, optimized geometry, DFT PBE-GGA
data_Nd2DyZn9
_cell_length_a 5.4913
_cell_length_b 5.4913
_cell_length_c 26.2165
_cell_angle_alpha 90.00
_cell_angle_beta 90.00
_cell_angle_gamma 120.00
_symmetry_space_group_name_H-M 'R -3 m'
_symmetry_Int_Tables_number 166
_symmetry_space_group_name_Hall '-R 3 2"'
loop_
_atom_site_label
_atom_site_type_symbol
_atom_site_fract_x
_atom_site_fract_y
_atom_site_fract_z
Nd1 Nd 0.0000 0.0000 0.1402
Dy1 Dy 0.0000 0.0000 0.0000
Zn1 Zn 0.0000 0.0000 0.3347
Zn2 Zn 0.0000 0.0000 0.5000
Zn3 Zn 0.0037 0.5019 0.9198
# Electronic total energy   -2.42 eV per atom
# Magnetic moment   0.00 μB/atom

***

Which value of magnetic moment does entry 1 give? 0.00 μB/atom

***

Copy entry 5 word for word.
# Pr6Tl5Zn, optimized geometry, DFT PBE-GGA
data_Pr6Tl5Zn
_cell_length_a 5.531
_cell_length_b 7.795
_cell_length_c 8.723
_cell_angle_alpha 90.00
_cell_angle_beta 108.38
_cell_angle_gamma 90.00
_symmetry_space_group_name_H-M 'P 1 2/m 1'
_symmetry_Int_Tables_number 10
loop_
_symmetry_equiv_pos_as_xyz
'x,y,z'
'-x,-y,-z'
'-x,y,-z'
'x,-y,z'
loop_
_atom_site_label
_atom_site_type_symbol
_atom_site_fract_x
_atom_site_fract_y
_atom_site_fract_z
Pr1 Pr 0.000 0.242 0.000
Pr2 Pr 0.337 0.245 0.674
Tl1 Tl 0.166 0.000 0.332
Tl2 Tl 0.168 0.500 0.336
Tl3 Tl 0.500 0.500 0.000
Zn1 Zn 0.500 0.000 0.000
# Electronic total energy   -3.85 eV per atom
# Excess energy over the best structure of this formula in the dataset   0.0000 eV/atom
# Magnetic moment   0.00 μB/atom